FeSNO2 | Alexandria | GGA+U | relaxed; DOS at the Fermi energy = 0.576 states/eV per atom; final energy = -4.530 eV per atom; magnetization = 0.64 μB per formula unit
1.0
3.593 0.000 0.000
0.000 3.593 0.000
0.000 0.000 3.945
Fe S N O
1 1 1 2
Direct
0.000 0.000 0.000
0.500 0.500 0.500
0.000 0.000 0.500
0.000 0.500 0.000
0.500 0.000 0.000